No. 1
An optimized crystal structure of Nb3AlPd, computed with PBE.

Cell and atoms, written as CIF:
```
data_Nb3AlPd
_chemical_formula_sum 'Nb3 Al1 Pd1'
_cell_length_a 4.8383
_cell_length_b 4.8383
_cell_length_c 4.8383
_cell_angle_alpha 90.00
_cell_angle_beta 90.00
_cell_angle_gamma 90.00
_space_group_name_H-M_alt 'P m -3 m'
_space_group_IT_number 221
_space_group_name_Hall '-P 4 2 3'
loop_
_atom_site_label
_atom_site_fract_x
_atom_site_fract_y
_atom_site_fract_z
Nb1 0.0000 0.0000 0.5000
Al1 0.5000 0.5000 0.5000
Pd1 0.0000 0.0000 0.0000
```

## Properties
formation enthalpy at 0 K = 1.159 eV/atom
ρ = 6042 kg/m³
distance to the lowest polymorph of the same formula = 3.1 kJ/mol of atoms

---

No. 2
An optimized crystal structure of NbAlPd6, computed with PBE.

Cell and atoms, written as CIF:
```
data_NbAlPd6
_chemical_formula_sum 'Nb1 Al1 Pd6'
_cell_length_a 3.9420
_cell_length_b 3.9420
_cell_length_c 7.8776
_cell_angle_alpha 90.00
_cell_angle_beta 90.00
_cell_angle_gamma 90.00
_space_group_name_H-M_alt 'P 4/m m m'
_space_group_IT_number 123
_space_group_name_Hall '-P 4 2'
loop_
_atom_site_label
_atom_site_fract_x
_atom_site_fract_y
_atom_site_fract_z
Nb1 0.0000 0.0000 0.0000
Al1 0.0000 0.0000 0.5000
Pd1 0.0000 0.5000 0.2495
Pd2 0.5000 0.5000 0.0000
Pd3 0.5000 0.5000 0.5000
```

## Properties
formation enthalpy at 0 K = -0.545 eV/atom
ρ = 10288 kg/m³
distance to the lowest polymorph of the same formula = 0.0 kJ/mol of atoms

---

- Look up the formation enthalpy at 0 K of the first one.
  1.159 eV/atom

---

- The lowest formation enthalpy at 0 K belongs to which entry?
  NbAlPd6

---

- Which value of ρ does entry 2 give?
  10288 kg/m³

---

- Among the records above, which one has the highest ρ?
  NbAlPd6